No. 1
Pm3Sm7Sc after structural relaxation. Source: Alexandria, functional PBE-GGA. Values from VASP.

The structure in Quantum ESPRESSO input format:
```
&SYSTEM
  ibrav = 0, nat = 22, ntyp = 3
/
ATOMIC_SPECIES
Sm 150.36 Sm.upf
Sc 44.96 Sc.upf
Pm 145.00 Pm.upf
CELL_PARAMETERS angstrom
0.4088 -4.8389 -9.0252
-5.7844 0.2183 8.4604
-8.2656 9.5354 0.6423
ATOMIC_POSITIONS angstrom
Sm -7.3496 0.7181 -3.0075
Sm -5.7717 -0.8005 -0.2287
Sm -13.1036 6.6619 3.1241
Sm -6.5825 2.8632 -5.7795
Sm -7.8700 5.7159 0.3064
Sm -4.6997 2.9514 -2.6732
Sm -3.1515 -4.0362 -3.2661
Sm -10.4895 8.9510 3.3434
Sm -0.5372 -1.7472 -3.0471
Sm -11.2215 6.7941 6.1773
Sm -6.2913 4.1964 3.0845
Sm -8.9414 1.9632 2.7505
Sm -2.4194 -1.8792 -6.0986
Sm -7.0590 2.0513 5.8581
Sc -2.6880 -2.3097 -0.2828
Sc -6.8211 2.4578 0.0383
Pm -9.9166 4.9855 8.7814
Pm -14.0495 9.7531 9.1025
Pm -3.8405 -0.5744 -3.0934
Pm -9.8009 5.4892 3.1711
Pm -5.6195 0.7632 2.8549
Pm -8.0217 4.1518 -2.7771
```

Properties
E above lowest polymorph	0.000	eV/atom
spin magnetization	0.000	μB per atom
E_form	2.1	eV per formula unit
space group	C2/c, No. 15


No. 2
PmCu2P after structural relaxation. Source: Alexandria, functional PBE-GGA. Values from VASP.

The structure in Quantum ESPRESSO input format:
```
&SYSTEM
  ibrav = 0, nat = 4, ntyp = 3
/
ATOMIC_SPECIES
P 30.97 P.upf
Pm 145.00 Pm.upf
Cu 63.55 Cu.upf
CELL_PARAMETERS angstrom
-1.2985 -4.3042 0.7619
3.4229 -0.6925 1.9219
-1.6984 1.1192 3.4282
ATOMIC_POSITIONS angstrom
P -0.6493 -2.1521 0.3810
Pm 0.2130 -1.9387 3.0560
Cu -0.8492 0.5596 1.7141
Cu 1.7115 -0.3462 0.9609
```

Properties
spin magnetization	0.000	μB per atom
E_form	-1.1	eV per formula unit
space group	P4/mmm, No. 123


No. 3
ScZn2Ga after structural relaxation. Source: Alexandria, functional PBE-GGA. Values from VASP.

The structure in Quantum ESPRESSO input format:
```
&SYSTEM
  ibrav = 0, nat = 16, ntyp = 3
/
ATOMIC_SPECIES
Zn 65.41 Zn.upf
Sc 44.96 Sc.upf
Ga 69.72 Ga.upf
CELL_PARAMETERS angstrom
-3.0773 2.1052 -1.4575
-4.6765 -7.4494 -0.8864
-1.2919 -0.1432 8.0185
ATOMIC_POSITIONS angstrom
Zn -6.8587 -5.2646 1.3790
Zn -4.1513 -5.3802 0.9937
Zn -1.3939 -1.7901 0.3573
Zn -3.5583 -2.4073 4.0355
Zn -7.6517 -3.6972 5.3172
Zn -2.1869 -0.2227 4.2955
Zn -4.8943 -0.1072 4.6808
Zn -5.4873 -3.0801 1.6390
Sc -5.2606 -5.0238 3.8505
Sc -3.7850 -0.4636 1.8241
Sc -3.8769 -2.6721 -1.1720
Sc -1.5386 1.0526 -0.7288
Ga -2.9683 -3.2356 1.5934
Ga -6.0774 -2.2517 4.0811
Ga -0.9295 0.0120 1.9798
Ga -8.1161 -5.4994 3.6947
```

Properties
spin magnetization	0.000	μB per atom
E_form	-1.4	eV per formula unit
space group	Cmcm, No. 63


Total DFT energy (no corrections)? In order: -4.68; -4.87; -3.33 eV/atom.